DFT (PBE) results for a relaxed TcMo3Pd crystal.

Computed properties:
- Energy relative to the elements: 214.5 kJ per mole of atoms

CIF file:
```
data_TcMo3Pd
_space_group_name_H-M_alt 'P m -3 m'
_space_group_IT_number 221
_space_group_name_Hall '-P 4 2 3'
_cell_length_a 4.6624
_cell_length_b 4.6624
_cell_length_c 4.6624
_cell_angle_alpha 90.00
_cell_angle_beta 90.00
_cell_angle_gamma 90.00
loop_
_atom_site_label
_atom_site_fract_x
_atom_site_fract_y
_atom_site_fract_z
Tc1 0.0000 0.0000 0.0000
Mo1 0.0000 0.5000 0.5000
Pd1 0.5000 0.5000 0.5000
```

DFT (PBE) results for a relaxed K2LaInF crystal.

Computed properties:
- Uncorrected formation energy: 1.0 eV per formula unit

CIF file:
```
data_K2LaInF
_space_group_name_H-M_alt 'P 4/m m m'
_space_group_IT_number 123
_space_group_name_Hall '-P 4 2'
_cell_length_a 7.6940
_cell_length_b 7.6940
_cell_length_c 5.9151
_cell_angle_alpha 90.00
_cell_angle_beta 90.00
_cell_angle_gamma 90.00
loop_
_atom_site_label
_atom_site_fract_x
_atom_site_fract_y
_atom_site_fract_z
K1 0.0000 0.5000 0.0000
La1 0.0000 0.0000 0.0000
In1 0.0000 0.0000 0.5000
F1 0.5000 0.5000 0.5000
```